No. 1
## PrYTmSc (PBE-GGA)

Data for a relaxed structure of PrYTmSc.

Energy of formation (meV/atom): 103
Total energy (eV/atom): -5.409
DOS at the Fermi energy (states/eV/atom): 1.7392
Volume (Å³ per cell): 247

Lattice parameters (Å, degrees): 3.842 5.614 11.457 90.00 90.00 90.00
Space group Imm2 (No. 44)
One atom of each set of equivalent atoms:
1 Pr 0.000 0.000 0.000 x2
2 Y 0.000 0.500 0.222 x2
3 Tm 0.000 0.000 0.459 x2
4 Sc 0.000 0.500 0.733 x2

***

No. 2
## PrY6Tm3Sc2 (PBE-GGA)

Data for a relaxed structure of PrY6Tm3Sc2.

Energy of formation (meV/atom): 46
Total energy (eV/atom): -5.758
DOS at the Fermi energy (states/eV/atom): 1.5176
Volume (Å³ per cell): 735

Lattice parameters (Å, degrees): 6.084 10.525 11.652 90.00 99.97 90.00
Space group C2/m (No. 12)
One atom of each set of equivalent atoms:
1 Pr 0.000 0.000 0.000 x2
2 Y 0.247 0.500 0.248 x4
3 Y 0.249 0.332 0.752 x8
4 Tm 0.000 0.167 0.500 x4
5 Tm 0.000 0.500 0.500 x2
6 Sc 0.000 0.333 0.000 x4

***

No. 3
## Pr6Y3Tm2Sc (PBE-GGA)

Data for a relaxed structure of Pr6Y3Tm2Sc.

Energy of formation (meV/atom): 25
Total energy (eV/atom): -5.254
DOS at the Fermi energy (states/eV/atom): 1.0961
Volume (Å³ per cell): 789

Lattice parameters (Å, degrees): 6.271 10.859 11.775 90.00 100.22 90.00
Space group C2/m (No. 12)
One atom of each set of equivalent atoms:
1 Pr 0.247 0.165 0.245 x8
2 Pr 0.249 0.000 0.755 x4
3 Y 0.000 0.167 0.500 x4
4 Y 0.000 0.500 0.500 x2
5 Tm 0.000 0.333 0.000 x4
6 Sc 0.000 0.000 0.000 x2

***

Which of these has the highest DOS at the Fermi energy? PrYTmSc

***

Please write out number 3 again, unchanged.
## Pr6Y3Tm2Sc (PBE-GGA)

Data for a relaxed structure of Pr6Y3Tm2Sc.

Energy of formation (meV/atom): 25
Total energy (eV/atom): -5.254
DOS at the Fermi energy (states/eV/atom): 1.0961
Volume (Å³ per cell): 789

Lattice parameters (Å, degrees): 6.271 10.859 11.775 90.00 100.22 90.00
Space group C2/m (No. 12)
One atom of each set of equivalent atoms:
1 Pr 0.247 0.165 0.245 x8
2 Pr 0.249 0.000 0.755 x4
3 Y 0.000 0.167 0.500 x4
4 Y 0.000 0.500 0.500 x2
5 Tm 0.000 0.333 0.000 x4
6 Sc 0.000 0.000 0.000 x2